LiAcPd2: relaxed, PBE.

abc: 5.0231 5.0231 5.0231
angles: 60.00 60.00 60.00
With the nearest neighbours (Å) after each atom.
Atoms (fractional coordinates):
Ac  0.0000  0.0000  0.0000  8 Pd 3.08
Pd  0.2500  0.2500  0.2500  4 Ac 3.08, 4 Li 3.08
Pd  0.7500  0.7500  0.7500  4 Ac 3.08, 4 Li 3.08
Li  0.5000  0.5000  0.5000  8 Pd 3.08

Results
E_form in eV/atom: -0.5112
SG: Fm-3m
Uncorrected energy in eV per atom: -4.613
Crystal system: cubic